The following is a DFT calculation (SCAN) of a crystal of ScBi2AsC relaxed with PBEsol.

SG = P4/mmm
magnetic moment = 0.000 μB/f.u.
formation energy = 0.451 eV/atom
mass density = 8.3 Mg/m³
crystal system = tetragonal

a = 4.3869 Å, b = 5.0105 Å, c = 5.0105 Å
α = 90.00°, β = 90.00°, γ = 90.00°
Closest atoms and distances in Å follow each position.
Positions (direct):
As 0.5000 0.5000 0.5000  8 Bi 3.33, 4 Sc 3.54
Sc 0.5000 0.0000 0.0000  2 C 2.19
C 0.0000 0.0000 0.0000  2 Sc 2.19
Bi 0.0000 0.5000 0.0000  2 C 2.51
Bi 0.0000 0.0000 0.5000  2 C 2.51